Entry from Alexandria via LeMat-Bulk: an optimized crystal structure of Zr2NiCl (PBE).

Computed properties:
- Space-group type: No. 123
- Density of states at the Fermi level: 4.1 states/eV per cell
- Spin magnetization: 0.000 μB per atom
- Raw formation energy: -0.427 eV/atom
- Polymorph energy (0 for the lowest one): 0.437 eV/f.u.

Lattice parameters (Å, degrees): 3.1064 3.1064 7.4430 90.00 90.00 89.97
Last column: nearest neighbours and their distance in Å.
Element x y z (fractional)
Cl (0.5000, 0.5000, 0.2500)  8 Zr 3.02, 4 Cl 3.11
Ni (0.5000, 0.5000, 0.7500)  8 Zr 2.75
Zr (0.0000, 0.0000, 0.9717)  4 Ni 2.75, 4 Cl 3.02
Zr (0.0000, 0.0000, 0.5283)  4 Ni 2.75, 4 Cl 3.02